No. 1
{"formula": "Sc3TiI", "functional": "PBE", "state": "relaxed", "relative_energy_kj_per_mol_atoms": 0.0, "dos_ef_per_ev_atom": 1.30, "raw_formation_energy_ev_per_atom": 0.55, "lattice_angstrom": [[5.185, 0.000, 0.000], [0.000, 5.185, 0.000], [0.000, 0.000, 5.185]], "species": ["Sc", "Sc", "Sc", "Ti", "I"], "fractional_positions": [[0.000, 0.000, 0.500], [0.000, 0.500, 0.000], [0.500, 0.000, 0.000], [0.000, 0.000, 0.000], [0.500, 0.500, 0.500]]}


No. 2
{"formula": "Ac2USe6", "functional": "PBE", "state": "relaxed", "relative_energy_kj_per_mol_atoms": 5.2, "dos_ef_per_ev_atom": 0.80, "raw_formation_energy_ev_per_atom": -1.51, "lattice_angstrom": [[8.096, 0.000, 0.000], [-4.048, 7.012, 0.000], [0.000, 0.000, 4.210]], "species": ["Ac", "Ac", "U", "Se", "Se", "Se", "Se", "Se", "Se"], "fractional_positions": [[0.333, 0.667, 0.000], [0.667, 0.333, 0.000], [0.000, 0.000, 0.500], [0.000, 0.398, 0.500], [0.000, 0.762, 0.000], [0.238, 0.238, 0.000], [0.398, 0.000, 0.500], [0.602, 0.602, 0.500], [0.762, 0.000, 0.000]]}


Please write out number 2 again, unchanged.
{"formula": "Ac2USe6", "functional": "PBE", "state": "relaxed", "relative_energy_kj_per_mol_atoms": 5.2, "dos_ef_per_ev_atom": 0.80, "raw_formation_energy_ev_per_atom": -1.51, "lattice_angstrom": [[8.096, 0.000, 0.000], [-4.048, 7.012, 0.000], [0.000, 0.000, 4.210]], "species": ["Ac", "Ac", "U", "Se", "Se", "Se", "Se", "Se", "Se"], "fractional_positions": [[0.333, 0.667, 0.000], [0.667, 0.333, 0.000], [0.000, 0.000, 0.500], [0.000, 0.398, 0.500], [0.000, 0.762, 0.000], [0.238, 0.238, 0.000], [0.398, 0.000, 0.500], [0.602, 0.602, 0.500], [0.762, 0.000, 0.000]]}